Density functional theory data (GGA-PBE) for crystalline K2Ga3CuF12 at its relaxed geometry.

a b c (Å): 7.4196 7.4196 17.2328
angles (deg): 90.00 90.00 120.00
Space group R-3m (No. 166, hexagonal axes)
Symmetry-distinct sites (fractional):
K1 0.0000 0.0000 0.1305
Ga1 0.0000 0.5000 0.0000
Cu1 0.0000 0.0000 0.5000
F1 0.0117 0.5058 0.1081
F2 0.0742 0.5371 0.3382

Results
ΔE_f (raw) ... -2500 meV/atom
Raw total energy ... -4.6015 eV per atom
Crystal system ... trigonal

---

Density functional theory data (GGA-PBE) for crystalline Ho5TmSb4 at its relaxed geometry.

a b c (Å): 18.4997 4.2739 8.3470
angles (deg): 90.00 105.67 90.00
Space group C2/m (No. 12)
Symmetry-distinct sites (fractional):
Ho1 0.0000 0.0000 0.0000
Ho2 0.1635 0.5000 0.3193
Ho3 0.1788 0.5000 0.8507
Tm1 0.0000 0.0000 0.5000
Sb1 0.0081 0.5000 0.7564
Sb2 0.1686 0.0000 0.5845

Results
ΔE_f (raw) ... -700 meV/atom
Raw total energy ... -5.0848 eV per atom
Crystal system ... monoclinic

---

Density functional theory data (GGA-PBE) for crystalline Cd2GaTeO6 at its relaxed geometry.

a b c (Å): 5.2888 5.2888 5.0503
angles (deg): 90.00 90.00 90.00
Space group P4mm (No. 99)
Symmetry-distinct sites (fractional):
Cd1 0.0000 0.5000 0.0000
Ga1 0.0000 0.0000 0.5534
Te1 0.5000 0.5000 0.5770
O1 0.0000 0.0000 0.1908
O2 0.2472 0.2472 0.7045
O3 0.5000 0.5000 0.1957

Results
ΔE_f (raw) ... -996 meV/atom
Raw total energy ... -4.7710 eV per atom
Crystal system ... tetragonal

---

- Which of these has the lowest ΔE_f (raw)?
  K2Ga3CuF12

---

- What is the raw total energy in the second record?
  -5.0848 eV per atom